1.
Density functional theory data (PBE) for a geometry-optimized MnSnRuAu structure.

a b c (Å): 6.4279 6.4279 6.4279
angles (deg): 90.00 90.00 90.00
Closest atoms and distances in Å follow each position.
Space group F-43m (No. 216)
One atom of each set of equivalent atoms:
Mn  0.0000  0.0000  0.0000 [4 per cell]  4 Sn 2.78, 4 Au 2.78
Sn  0.2500  0.2500  0.2500 [4 per cell]  4 Mn 2.78, 4 Ru 2.78
Ru  0.0000  0.0000  0.5000 [4 per cell]  4 Sn 2.78, 4 Au 2.78
Au  0.2500  0.2500  0.7500 [4 per cell]  4 Mn 2.78, 4 Ru 2.78

Summary:
- energy relative to the elements (eV per atom) = 0.10
- total energy (eV per atom) = -6.328



2.
Density functional theory data (PBE) for a geometry-optimized MnTcRuAu2 structure.

a b c (Å): 4.8171 4.8171 4.2860
angles (deg): 90.00 90.00 90.00
Closest atoms and distances in Å follow each position.
Space group P4/mmm (No. 123)
One atom of each set of equivalent atoms:
Mn  0.0000  0.0000  0.0000 [1 per cell]  2 Ru 2.14
Tc  0.5000  0.5000  0.5000 [1 per cell]  8 Au 3.22, 4 Ru 3.41
Ru  0.0000  0.0000  0.5000 [1 per cell]  2 Mn 2.14
Au  0.0000  0.5000  0.0000 [2 per cell]  2 Mn 2.41

Summary:
- energy relative to the elements (eV per atom) = 1.40
- total energy (eV per atom) = -5.678



3.
Density functional theory data (PBE) for a geometry-optimized TiMnRu2Au structure.

a b c (Å): 4.8933 4.8933 4.7002
angles (deg): 90.00 90.00 90.00
Closest atoms and distances in Å follow each position.
Space group P4/mmm (No. 123)
One atom of each set of equivalent atoms:
Ti  0.0000  0.0000  0.0000 [1 per cell]  2 Au 2.35
Mn  0.5000  0.5000  0.0000 [1 per cell]  8 Ru 3.39, 4 Ti 3.46
Ru  0.0000  0.5000  0.5000 [2 per cell]  2 Au 2.45
Au  0.0000  0.0000  0.5000 [1 per cell]  2 Ti 2.35, 4 Ru 2.45

Summary:
- energy relative to the elements (eV per atom) = 1.71
- total energy (eV per atom) = -6.072



4.
Density functional theory data (PBE) for a geometry-optimized TiMnRuAu2 structure.

a b c (Å): 4.8129 4.8129 4.2971
angles (deg): 90.00 90.00 90.00
Closest atoms and distances in Å follow each position.
Space group P4/mmm (No. 123)
One atom of each set of equivalent atoms:
Ti  0.0000  0.0000  0.0000 [1 per cell]  8 Au 3.23, 4 Ru 3.40
Mn  0.5000  0.5000  0.5000 [1 per cell]  2 Ru 2.15
Ru  0.5000  0.5000  0.0000 [1 per cell]  2 Mn 2.15
Au  0.0000  0.5000  0.5000 [2 per cell]  2 Mn 2.41

Summary:
- energy relative to the elements (eV per atom) = 0.88
- total energy (eV per atom) = -5.699



5.
Density functional theory data (PBE) for a geometry-optimized MnAuS2 structure.

a b c (Å): 5.5698 6.3570 6.5682
angles (deg): 63.99 88.21 70.74
Closest atoms and distances in Å follow each position.
Space group P1 (No. 1)
One atom of each set of equivalent atoms:
Mn  0.0000  0.0000  0.0000 [1 per cell]  4 S 2.31-2.35
Mn  0.0106  0.2627  0.4619 [1 per cell]  4 S 2.29-2.34
Au  0.4472  0.3224  0.2099 [1 per cell]  2 S 2.34
Au  0.5263  0.1974  0.7224 [1 per cell]  2 S 2.34-2.35
S  0.0187  0.5881  0.1235 [1 per cell]  2 Mn 2.29-2.34, 1 Au 2.34
S  0.3071  0.9269  0.7662 [1 per cell]  2 Mn 2.33, 1 Au 2.34
S  0.8046  0.4103  0.7095 [1 per cell]  2 Mn 2.31-2.35, 1 Au 2.35
S  0.8680  0.0363  0.3230 [1 per cell]  2 Mn 2.31-2.34, 1 Au 2.34

Summary:
- energy relative to the elements, uncorrected (eV/atom) = -0.252
- total energy (eV per atom) = -5.427



6.
Density functional theory data (PBE) for a geometry-optimized MnAuS2 structure.

a b c (Å): 3.7066 3.7066 5.2124
angles (deg): 90.00 90.00 90.00
Closest atoms and distances in Å follow each position.
Space group P4/mmm (No. 123)
One atom of each set of equivalent atoms:
Mn  0.0000  0.0000  0.0000 [1 per cell]  6 S 2.61-2.62
Au  0.5000  0.5000  0.5000 [1 per cell]  6 S 2.61-2.62
S  0.0000  0.0000  0.5000 [1 per cell]  2 Mn 2.61, 4 Au 2.62
S  0.5000  0.5000  0.0000 [1 per cell]  2 Au 2.61, 4 Mn 2.62

Summary:
- energy relative to the elements, uncorrected (eV/atom) = -0.142
- total energy (eV per atom) = -5.317



7.
Density functional theory data (PBE) for a geometry-optimized MnAuS2 structure.

a b c (Å): 5.3090 3.0590 9.6965
angles (deg): 90.00 105.76 90.00
Closest atoms and distances in Å follow each position.
Space group C2/m (No. 12)
One atom of each set of equivalent atoms:
Mn  0.0000  0.0000  0.0000 [2 per cell]  6 S 2.29
Au  0.0000  0.0000  0.5000 [2 per cell]  6 Au 3.06
S  0.0899  0.5000  0.8444 [4 per cell]  3 Mn 2.29

Summary:
- energy relative to the elements, uncorrected (eV/atom) = -0.179
- total energy (eV per atom) = -5.354



8.
Density functional theory data (PBE) for a geometry-optimized MnAu2S structure.

a b c (Å): 7.4607 7.4607 5.2623
angles (deg): 90.00 90.00 90.00
Closest atoms and distances in Å follow each position.
Space group I-42d (No. 122)
One atom of each set of equivalent atoms:
Mn  0.0000  0.0000  0.0000 [4 per cell]  2 S 2.63, 4 Au 2.78
Au  0.2378  0.7500  0.6250 [8 per cell]  2 Au 2.64, 2 S 2.66, 2 Mn 2.78
S  0.0000  0.0000  0.5000 [4 per cell]  2 Mn 2.63, 4 Au 2.66

Summary:
- energy relative to the elements, uncorrected (eV/atom) = 0.199
- total energy (eV per atom) = -4.764



- Which formula does entry 7 have?
  MnAuS2